Arrangement A

# PBE Pm8Nd2Th, optimized geometry
data_Pm8Nd2Th
_chemical_formula_sum 'Pm16 Nd4 Th2'
_symmetry_space_group_name_H-M 'C 1 2/m 1'
_symmetry_Int_Tables_number 12
_symmetry_space_group_name_Hall '-C 2y'
_cell_length_a 18.613
_cell_length_b 5.158
_cell_length_c 8.172
_cell_angle_alpha 90.00
_cell_angle_beta 105.17
_cell_angle_gamma 90.00
loop_
_atom_site_label
_atom_site_fract_x
_atom_site_fract_y
_atom_site_fract_z
Pm1 0.044 0.000 0.234
Pm2 0.090 0.500 0.950
Pm3 0.134 0.000 0.677
Pm4 0.179 0.500 0.408
Nd1 0.228 0.000 0.137
Th1 0.000 0.500 0.500
# - crystal system = monoclinic
# - magnetization (μB per atom) = 0.000

---

Arrangement B

# PBE Pm8Nd2Th, optimized geometry
data_Pm8Nd2Th
_chemical_formula_sum 'Pm16 Nd4 Th2'
_symmetry_space_group_name_H-M 'C 1 2/m 1'
_symmetry_Int_Tables_number 12
_symmetry_space_group_name_Hall '-C 2y'
_cell_length_a 19.519
_cell_length_b 6.949
_cell_length_c 5.768
_cell_angle_alpha 90.00
_cell_angle_beta 94.67
_cell_angle_gamma 90.00
loop_
_atom_site_label
_atom_site_fract_x
_atom_site_fract_y
_atom_site_fract_z
Pm1 0.048 0.000 0.227
Pm2 0.126 0.239 0.722
Pm3 0.182 0.500 0.222
Nd1 0.219 0.000 0.254
Th1 0.000 0.500 0.000
# - crystal system = monoclinic
# - magnetization (μB per atom) = 0.000

---

Which of them is the most stable? Correct choice: arrangement A.

---

Arrangement A

# PBE Pm5Nd4Th, optimized geometry
data_Pm5Nd4Th
_chemical_formula_sum 'Pm10 Nd8 Th2'
_symmetry_space_group_name_H-M 'C 1 2/m 1'
_symmetry_Int_Tables_number 12
_symmetry_space_group_name_Hall '-C 2y'
_cell_length_a 26.147
_cell_length_b 3.661
_cell_length_c 7.307
_cell_angle_alpha 90.00
_cell_angle_beta 97.94
_cell_angle_gamma 90.00
loop_
_atom_site_label
_atom_site_fract_x
_atom_site_fract_y
_atom_site_fract_z
Pm1 0.000 0.000 0.000
Pm2 0.097 0.500 0.305
Pm3 0.200 0.000 0.099
Nd1 0.097 0.500 0.792
Nd2 0.201 0.000 0.601
Th1 0.000 0.000 0.500
# - crystal system = monoclinic
# - magnetization (μB per atom) = 0.000

---

Arrangement B

# PBE Pm5Nd4Th, optimized geometry
data_Pm5Nd4Th
_chemical_formula_sum 'Pm5 Nd4 Th1'
_symmetry_space_group_name_H-M 'P 4/m m m'
_symmetry_Int_Tables_number 123
_symmetry_space_group_name_Hall '-P 4 2'
_cell_length_a 4.291
_cell_length_b 4.291
_cell_length_c 18.755
_cell_angle_alpha 90.00
_cell_angle_beta 90.00
_cell_angle_gamma 90.00
loop_
_atom_site_label
_atom_site_fract_x
_atom_site_fract_y
_atom_site_fract_z
Pm1 0.000 0.000 0.000
Pm2 0.000 0.000 0.200
Pm3 0.000 0.000 0.405
Nd1 0.500 0.500 0.100
Nd2 0.500 0.500 0.304
Th1 0.500 0.500 0.500
# - crystal system = tetragonal
# - magnetization (μB per atom) = 0.000

---

Which of them is the most stable? Correct choice: arrangement A.

---

Arrangement A

# PBE Pm7Nd12Th, optimized geometry
data_Pm7Nd12Th
_chemical_formula_sum 'Pm14 Nd24 Th2'
_symmetry_space_group_name_H-M 'I m -3'
_symmetry_Int_Tables_number 204
_symmetry_space_group_name_Hall '-I 2 2 3'
_cell_length_a 11.633
_cell_length_b 11.633
_cell_length_c 11.633
_cell_angle_alpha 90.00
_cell_angle_beta 90.00
_cell_angle_gamma 90.00
loop_
_atom_site_label
_atom_site_fract_x
_atom_site_fract_y
_atom_site_fract_z
Pm1 0.000 0.000 0.500
Pm2 0.250 0.250 0.250
Nd1 0.000 0.240 0.242
Th1 0.000 0.000 0.000
# - crystal system = cubic
# - magnetization (μB per atom) = 0.000

---

Arrangement B

# PBE Pm7Nd12Th, optimized geometry
data_Pm7Nd12Th
_chemical_formula_sum 'Pm21 Nd36 Th3'
_symmetry_space_group_name_H-M 'R -3 m'
_symmetry_Int_Tables_number 166
_symmetry_space_group_name_Hall '-R 3 2"'
_cell_length_a 13.7103
_cell_length_b 13.7103
_cell_length_c 12.8211
_cell_angle_alpha 90.00
_cell_angle_beta 90.00
_cell_angle_gamma 120.00
loop_
_atom_site_label
_atom_site_fract_x
_atom_site_fract_y
_atom_site_fract_z
Pm1 0.0000 0.0000 0.0000
Pm2 0.0873 0.1747 0.2672
Nd1 0.0000 0.2582 0.5000
Nd2 0.0458 0.5229 0.6146
Th1 0.0000 0.0000 0.5000
# - crystal system = trigonal
# - magnetization (μB per atom) = 0.000

---

Which of them is the most stable? Correct choice: arrangement B.

---

Arrangement A

# PBE PmNdTmTh, optimized geometry
data_PmNdTmTh
_chemical_formula_sum 'Pm4 Nd4 Tm4 Th4'
_symmetry_space_group_name_H-M 'F -4 3 m'
_symmetry_Int_Tables_number 216
_symmetry_space_group_name_Hall 'F -4 2 3'
_cell_length_a 8.089
_cell_length_b 8.089
_cell_length_c 8.089
_cell_angle_alpha 90.00
_cell_angle_beta 90.00
_cell_angle_gamma 90.00
loop_
_atom_site_label
_atom_site_fract_x
_atom_site_fract_y
_atom_site_fract_z
Pm1 0.000 0.000 0.000
Nd1 0.250 0.250 0.250
Tm1 0.000 0.000 0.500
Th1 0.250 0.250 0.750
# - crystal system = cubic
# - magnetization (μB per atom) = 0.000

---

Arrangement B

# PBE PmNdTmTh, optimized geometry
data_PmNdTmTh
_chemical_formula_sum 'Pm3 Nd3 Tm3 Th3'
_symmetry_space_group_name_H-M 'R 3 m'
_symmetry_Int_Tables_number 160
_symmetry_space_group_name_Hall 'R 3 -2"'
_cell_length_a 3.6121
_cell_length_b 3.6121
_cell_length_c 34.9764
_cell_angle_alpha 90.00
_cell_angle_beta 90.00
_cell_angle_gamma 120.00
loop_
_atom_site_label
_atom_site_fract_x
_atom_site_fract_y
_atom_site_fract_z
Pm1 0.0000 0.0000 0.0000
Nd1 0.0000 0.0000 0.2453
Tm1 0.0000 0.0000 0.4164
Th1 0.0000 0.0000 0.8296
# - crystal system = trigonal
# - magnetization (μB per atom) = 0.000

---

Which of them is the most stable? Correct choice: arrangement B.

---

Arrangement A

# PBE Pm4Nd2Tl, optimized geometry
data_Pm4Nd2Tl
_chemical_formula_sum 'Pm8 Nd4 Tl2'
_symmetry_space_group_name_H-M 'P 1 21/c 1'
_symmetry_Int_Tables_number 14
_symmetry_space_group_name_Hall '-P 2ybc'
_cell_length_a 6.432
_cell_length_b 10.937
_cell_length_c 6.662
_cell_angle_alpha 90.00
_cell_angle_beta 90.00
_cell_angle_gamma 90.00
loop_
_atom_site_label
_atom_site_fract_x
_atom_site_fract_y
_atom_site_fract_z
Pm1 0.070 0.154 0.002
Pm2 0.398 0.750 0.250
Nd1 0.244 0.041 0.502
Tl1 0.500 0.000 0.000
# - crystal system = monoclinic
# - magnetization (μB per atom) = 0.000

---

Arrangement B

# PBE Pm4Nd2Tl, optimized geometry
data_Pm4Nd2Tl
_chemical_formula_sum 'Pm8 Nd4 Tl2'
_symmetry_space_group_name_H-M 'P 1 21/m 1'
_symmetry_Int_Tables_number 11
_symmetry_space_group_name_Hall '-P 2yb'
_cell_length_a 5.876
_cell_length_b 6.842
_cell_length_c 11.843
_cell_angle_alpha 90.00
_cell_angle_beta 103.48
_cell_angle_gamma 90.00
loop_
_atom_site_label
_atom_site_fract_x
_atom_site_fract_y
_atom_site_fract_z
Pm1 0.092 0.250 0.127
Pm2 0.283 0.750 0.433
Pm3 0.345 0.508 0.716
Nd1 0.159 0.250 0.429
Nd2 0.479 0.750 0.024
Tl1 0.049 0.750 0.161
# - crystal system = monoclinic
# - magnetization (μB per atom) = 0.000

---

Which of them is the most stable? Correct choice: arrangement B.

---

Arrangement A

# PBE Pm2Nd6Tl, optimized geometry
data_Pm2Nd6Tl
_chemical_formula_sum 'Pm4 Nd12 Tl2'
_symmetry_space_group_name_H-M 'C 1 2/m 1'
_symmetry_Int_Tables_number 12
_symmetry_space_group_name_Hall '-C 2y'
_cell_length_a 17.306
_cell_length_b 9.944
_cell_length_c 3.482
_cell_angle_alpha 90.00
_cell_angle_beta 90.23
_cell_angle_gamma 90.00
loop_
_atom_site_label
_atom_site_fract_x
_atom_site_fract_y
_atom_site_fract_z
Pm1 0.166 0.000 0.499
Nd1 0.000 0.177 0.000
Nd2 0.163 0.336 0.995
Tl1 0.000 0.500 0.500
# - crystal system = monoclinic
# - magnetization (μB per atom) = 0.000

---

Arrangement B

# PBE Pm2Nd6Tl, optimized geometry
data_Pm2Nd6Tl
_chemical_formula_sum 'Pm4 Nd12 Tl2'
_symmetry_space_group_name_H-M 'P 1 21/c 1'
_symmetry_Int_Tables_number 14
_symmetry_space_group_name_Hall '-P 2ybc'
_cell_length_a 8.511
_cell_length_b 7.271
_cell_length_c 10.347
_cell_angle_alpha 90.00
_cell_angle_beta 102.11
_cell_angle_gamma 90.00
loop_
_atom_site_label
_atom_site_fract_x
_atom_site_fract_y
_atom_site_fract_z
Pm1 0.044 0.000 0.267
Nd1 0.205 0.244 0.035
Nd2 0.205 0.744 0.536
Nd3 0.437 0.502 0.313
Tl1 0.500 0.000 0.500
# - crystal system = monoclinic
# - magnetization (μB per atom) = 0.000

---

Which of them is the most stable? Correct choice: arrangement A.

---

Arrangement A

# PBE Pm5Nd4Tl, optimized geometry
data_Pm5Nd4Tl
_chemical_formula_sum 'Pm10 Nd8 Tl2'
_symmetry_space_group_name_H-M 'I 4 m m'
_symmetry_Int_Tables_number 107
_symmetry_space_group_name_Hall 'I 4 -2'
_cell_length_a 10.807
_cell_length_b 10.807
_cell_length_c 6.052
_cell_angle_alpha 90.00
_cell_angle_beta 90.00
_cell_angle_gamma 90.00
loop_
_atom_site_label
_atom_site_fract_x
_atom_site_fract_y
_atom_site_fract_z
Pm1 0.000 0.000 0.000
Pm2 0.186 0.186 0.290
Nd1 0.000 0.313 0.802
Tl1 0.000 0.000 0.521
# - crystal system = tetragonal
# - magnetization (μB per atom) = 0.000

---

Arrangement B

# PBE Pm5Nd4Tl, optimized geometry
data_Pm5Nd4Tl
_chemical_formula_sum 'Pm5 Nd4 Tl1'
_symmetry_space_group_name_H-M 'P 4/m m m'
_symmetry_Int_Tables_number 123
_symmetry_space_group_name_Hall '-P 4 2'
_cell_length_a 4.269
_cell_length_b 4.269
_cell_length_c 18.324
_cell_angle_alpha 90.00
_cell_angle_beta 90.00
_cell_angle_gamma 90.00
loop_
_atom_site_label
_atom_site_fract_x
_atom_site_fract_y
_atom_site_fract_z
Pm1 0.000 0.000 0.000
Pm2 0.000 0.000 0.207
Pm3 0.000 0.000 0.412
Nd1 0.500 0.500 0.101
Nd2 0.500 0.500 0.303
Tl1 0.500 0.500 0.500
# - crystal system = tetragonal
# - magnetization (μB per atom) = 0.000

---

Which of them is the most stable? Correct choice: arrangement B.

---

Arrangement A

# PBE Pm3Nd2Tl, optimized geometry
data_Pm3Nd2Tl
_chemical_formula_sum 'Pm6 Nd4 Tl2'
_symmetry_space_group_name_H-M 'C m m m'
_symmetry_Int_Tables_number 65
_symmetry_space_group_name_Hall '-C 2 2'
_cell_length_a 4.969
_cell_length_b 15.626
_cell_length_c 4.997
_cell_angle_alpha 90.00
_cell_angle_beta 90.00
_cell_angle_gamma 90.00
loop_
_atom_site_label
_atom_site_fract_x
_atom_site_fract_y
_atom_site_fract_z
Pm1 0.000 0.000 0.000
Pm2 0.000 0.336 0.000
Nd1 0.000 0.163 0.500
Tl1 0.000 0.500 0.500
# - crystal system = orthorhombic
# - magnetization (μB per atom) = 0.000

---

Arrangement B

# PBE Pm3Nd2Tl, optimized geometry
data_Pm3Nd2Tl
_chemical_formula_sum 'Pm12 Nd8 Tl4'
_symmetry_space_group_name_H-M 'C m c m'
_symmetry_Int_Tables_number 63
_symmetry_space_group_name_Hall '-C 2c 2'
_cell_length_a 17.714
_cell_length_b 6.419
_cell_length_c 7.055
_cell_angle_alpha 90.00
_cell_angle_beta 90.00
_cell_angle_gamma 90.00
loop_
_atom_site_label
_atom_site_fract_x
_atom_site_fract_y
_atom_site_fract_z
Pm1 0.000 0.178 0.250
Pm2 0.140 0.500 0.000
Nd1 0.182 0.016 0.750
Tl1 0.000 0.306 0.750
# - crystal system = orthorhombic
# - magnetization (μB per atom) = 0.000

---

Which of them is the most stable? Correct choice: arrangement A.

---

Arrangement A

# PBE Pm3Nd2Tl4, optimized geometry
data_Pm3Nd2Tl4
_chemical_formula_sum 'Pm12 Nd8 Tl16'
_symmetry_space_group_name_H-M 'C m c e'
_symmetry_Int_Tables_number 64
_symmetry_space_group_name_Hall '-C 2ac 2'
_cell_length_a 7.393
_cell_length_b 16.350
_cell_length_c 9.559
_cell_angle_alpha 90.00
_cell_angle_beta 90.00
_cell_angle_gamma 90.00
loop_
_atom_site_label
_atom_site_fract_x
_atom_site_fract_y
_atom_site_fract_z
Pm1 0.000 0.000 0.000
Pm2 0.250 0.217 0.250
Nd1 0.000 0.108 0.569
Tl1 0.000 0.190 0.968
Tl2 0.250 0.024 0.250
# - crystal system = orthorhombic
# - magnetization (μB per atom) = 0.000

---

Arrangement B

# PBE Pm3Nd2Tl4, optimized geometry
data_Pm3Nd2Tl4
_chemical_formula_sum 'Pm6 Nd4 Tl8'
_symmetry_space_group_name_H-M 'C 1 2/m 1'
_symmetry_Int_Tables_number 12
_symmetry_space_group_name_Hall '-C 2y'
_cell_length_a 9.383
_cell_length_b 5.433
_cell_length_c 10.743
_cell_angle_alpha 90.00
_cell_angle_beta 90.24
_cell_angle_gamma 90.00
loop_
_atom_site_label
_atom_site_fract_x
_atom_site_fract_y
_atom_site_fract_z
Pm1 0.000 0.000 0.000
Pm2 0.167 0.500 0.423
Nd1 0.167 0.500 0.780
Tl1 0.000 0.000 0.349
Tl2 0.166 0.500 0.101
# - crystal system = monoclinic
# - magnetization (μB per atom) = 0.000

---

Which of them is the most stable? Correct choice: arrangement B.

---

Arrangement A

# PBE Pm4Nd5Tl, optimized geometry
data_Pm4Nd5Tl
_chemical_formula_sum 'Pm8 Nd10 Tl2'
_symmetry_space_group_name_H-M 'I 4 m m'
_symmetry_Int_Tables_number 107
_symmetry_space_group_name_Hall 'I 4 -2'
_cell_length_a 10.765
_cell_length_b 10.765
_cell_length_c 6.099
_cell_angle_alpha 90.00
_cell_angle_beta 90.00
_cell_angle_gamma 90.00
loop_
_atom_site_label
_atom_site_fract_x
_atom_site_fract_y
_atom_site_fract_z
Pm1 0.000 0.314 0.000
Nd1 0.000 0.000 0.800
Nd2 0.187 0.187 0.513
Tl1 0.000 0.000 0.277
# - crystal system = tetragonal
# - magnetization (μB per atom) = 0.000

---

Arrangement B

# PBE Pm4Nd5Tl, optimized geometry
data_Pm4Nd5Tl
_chemical_formula_sum 'Pm4 Nd5 Tl1'
_symmetry_space_group_name_H-M 'P 4/m m m'
_symmetry_Int_Tables_number 123
_symmetry_space_group_name_Hall '-P 4 2'
_cell_length_a 4.277
_cell_length_b 4.277
_cell_length_c 18.351
_cell_angle_alpha 90.00
_cell_angle_beta 90.00
_cell_angle_gamma 90.00
loop_
_atom_site_label
_atom_site_fract_x
_atom_site_fract_y
_atom_site_fract_z
Pm1 0.000 0.000 0.101
Pm2 0.000 0.000 0.303
Nd1 0.500 0.500 0.000
Nd2 0.500 0.500 0.205
Nd3 0.500 0.500 0.411
Tl1 0.000 0.000 0.500
# - crystal system = tetragonal
# - magnetization (μB per atom) = 0.000

---

Which of them is the most stable? Correct choice: arrangement B.